First-principles (meta-GGA SCAN) data for Zn2SbRh at its PBEsol-relaxed geometry, as listed in Alexandria via LeMat-Bulk.

a = 3.9027 Å, b = 3.9027 Å, c = 8.2609 Å
α = 90.00°, β = 90.00°, γ = 90.00°
Space group I4/mmm (No. 139)
Asymmetric unit:
Zn 0.0000 0.5000 0.2500 x4
Sb 0.0000 0.0000 0.0000 x2
Rh 0.0000 0.0000 0.5000 x2

Formation energy (no corrections) = -0.089 eV per atom